<P>
# Tm8Co2Ir | Alexandria | PBE | relaxed
# - N(E_F): 10.65 states/eV/f.u.
# - Volume: 513.7 Å³ per cell
# - Magnetic moment: 0.00 μB per atom
data_Tm8Co2Ir
_chemical_formula_sum 'Tm16 Co4 Ir2'
_cell_length_a 16.7817
_cell_length_b 4.8643
_cell_length_c 6.5949
_cell_angle_alpha 90.00
_cell_angle_beta 107.40
_cell_angle_gamma 90.00
_symmetry_space_group_name_H-M 'C 1 2/m 1'
_symmetry_Int_Tables_number 12
loop_
_symmetry_equiv_pos_as_xyz
'x,y,z'
'-x,-y,-z'
'-x,y,-z'
'x,-y,z'
'x+1/2,y+1/2,z'
'-x+1/2,-y+1/2,-z'
'-x+1/2,y+1/2,-z'
'x+1/2,-y+1/2,z'
loop_
_atom_site_label
_atom_site_fract_x
_atom_site_fract_y
_atom_site_fract_z
_atom_site_occupancy
Tm1 0.0356 0.0000 0.2926 1
Tm2 0.0954 0.5000 0.9515 1
Tm3 0.1719 0.5000 0.4731 1
Tm4 0.2019 0.0000 0.8202 1
Co1 0.1868 0.0000 0.2017 1
Ir1 0.0000 0.5000 0.5000 1


<Q>
# Tm8Co2Ir | Alexandria | PBE | relaxed
# - N(E_F): 10.69 states/eV/f.u.
# - Volume: 542.5 Å³ per cell
# - Magnetic moment: 0.00 μB per atom
data_Tm8Co2Ir
_chemical_formula_sum 'Tm16 Co4 Ir2'
_cell_length_a 8.0794
_cell_length_b 12.2064
_cell_length_c 5.7942
_cell_angle_alpha 90.00
_cell_angle_beta 108.31
_cell_angle_gamma 90.00
_symmetry_space_group_name_H-M 'C 1 m 1'
_symmetry_Int_Tables_number 8
loop_
_symmetry_equiv_pos_as_xyz
'x,y,z'
'x,-y,z'
'x+1/2,y+1/2,z'
'x+1/2,-y+1/2,z'
loop_
_atom_site_label
_atom_site_fract_x
_atom_site_fract_y
_atom_site_fract_z
_atom_site_occupancy
Tm1 0.0000 0.0000 0.0000 1
Tm2 0.0644 0.3690 0.7836 1
Tm3 0.1513 0.1311 0.5956 1
Tm4 0.2232 0.5000 0.3701 1
Tm5 0.3611 0.2166 0.1854 1
Co1 0.3567 0.3106 0.6836 1
Ir1 0.3646 0.0000 0.0282 1


Energy relative to the most stable one, in meV per atom: <P> 0; <Q> 64


<P>
# V2Co3Ir | Alexandria | PBE | relaxed
# - N(E_F): 7.33 states/eV/f.u.
# - Volume: 609.4 Å³ per cell
# - Magnetic moment: 0.35 μB per atom
data_V2Co3Ir
_chemical_formula_sum 'V16 Co24 Ir8'
_cell_length_a 7.6942
_cell_length_b 7.6942
_cell_length_c 10.2939
_cell_angle_alpha 90.00
_cell_angle_beta 90.00
_cell_angle_gamma 90.00
_symmetry_space_group_name_H-M 'I 41/a m d'
_symmetry_Int_Tables_number 141
loop_
_symmetry_equiv_pos_as_xyz
'x,y,z'
'-x,-y,-z'
'-y+1/4,x+3/4,z+1/4'
'y+1/4,-x+3/4,-z+1/4'
'-x+1/2,-y,z+1/2'
'x+1/2,y,-z+1/2'
'y+1/4,-x+1/4,z+3/4'
'-y+1/4,x+1/4,-z+3/4'
'x,-y,-z'
'-x,y,z'
'-y+1/4,-x+1/4,-z+3/4'
'y+1/4,x+1/4,z+3/4'
'-x+1/2,y,-z+1/2'
'x+1/2,-y,z+1/2'
'y+1/4,x+3/4,-z+1/4'
'-y+1/4,-x+3/4,z+1/4'
'x+1/2,y+1/2,z+1/2'
'-x+1/2,-y+1/2,-z+1/2'
'-y+3/4,x+1/4,z+3/4'
'y+3/4,-x+1/4,-z+3/4'
'-x,-y+1/2,z'
'x,y+1/2,-z'
'y+3/4,-x+3/4,z+1/4'
'-y+3/4,x+3/4,-z+1/4'
'x+1/2,-y+1/2,-z+1/2'
'-x+1/2,y+1/2,z+1/2'
'-y+3/4,-x+3/4,-z+1/4'
'y+3/4,x+3/4,z+1/4'
'-x,y+1/2,-z'
'x,-y+1/2,z'
'y+3/4,x+1/4,-z+3/4'
'-y+3/4,-x+1/4,z+3/4'
loop_
_atom_site_label
_atom_site_fract_x
_atom_site_fract_y
_atom_site_fract_z
_atom_site_occupancy
V1 0.0000 0.0720 0.2780 1
Co1 0.0000 0.0000 0.5000 1
Co2 0.2120 0.0380 0.8750 1
Ir1 0.0000 0.2500 0.0625 1


<Q>
# V2Co3Ir | Alexandria | PBE | relaxed
# - N(E_F): 6.63 states/eV/f.u.
# - Volume: 293.1 Å³ per cell
# - Magnetic moment: 0.32 μB per atom
data_V2Co3Ir
_chemical_formula_sum 'V8 Co12 Ir4'
_cell_length_a 11.9176
_cell_length_b 4.1619
_cell_length_c 6.9243
_cell_angle_alpha 90.00
_cell_angle_beta 121.40
_cell_angle_gamma 90.00
_symmetry_space_group_name_H-M 'C 1 2/m 1'
_symmetry_Int_Tables_number 12
loop_
_symmetry_equiv_pos_as_xyz
'x,y,z'
'-x,-y,-z'
'-x,y,-z'
'x,-y,z'
'x+1/2,y+1/2,z'
'-x+1/2,-y+1/2,-z'
'-x+1/2,y+1/2,-z'
'x+1/2,-y+1/2,z'
loop_
_atom_site_label
_atom_site_fract_x
_atom_site_fract_y
_atom_site_fract_z
_atom_site_occupancy
V1 0.0274 0.0000 0.1998 1
V2 0.2025 0.5000 0.5661 1
Co1 0.0421 0.5000 0.7061 1
Co2 0.1155 0.0000 0.5807 1
Co3 0.2018 0.0000 0.9940 1
Ir1 0.1380 0.5000 0.1511 1


Energy relative to the most stable one, in meV per atom: <P> 143; <Q> 0


<P>
# CoIrW2 | Alexandria | PBE | relaxed
# - N(E_F): 3.03 states/eV/f.u.
# - Volume: 57.4 Å³ per cell
# - Magnetic moment: 0.00 μB per atom
data_CoIrW2
_chemical_formula_sum 'Co1 Ir1 W2'
_cell_length_a 2.7494
_cell_length_b 4.3852
_cell_length_c 4.7587
_cell_angle_alpha 90.00
_cell_angle_beta 90.00
_cell_angle_gamma 90.00
_symmetry_space_group_name_H-M 'P m m 2'
_symmetry_Int_Tables_number 25
loop_
_symmetry_equiv_pos_as_xyz
'x,y,z'
'-x,-y,z'
'-x,y,z'
'x,-y,z'
loop_
_atom_site_label
_atom_site_fract_x
_atom_site_fract_y
_atom_site_fract_z
_atom_site_occupancy
Co1 0.0000 0.0000 0.0000 1
Ir1 0.0000 0.5000 0.6473 1
W1 0.5000 0.0000 0.4861 1
W2 0.5000 0.5000 0.1331 1


<Q>
# CoIrW2 | Alexandria | PBE | relaxed
# - N(E_F): 8.99 states/eV/f.u.
# - Volume: 235.9 Å³ per cell
# - Magnetic moment: 0.38 μB per atom
data_CoIrW2
_chemical_formula_sum 'Co4 Ir4 W8'
_cell_length_a 6.1784
_cell_length_b 6.1784
_cell_length_c 6.1784
_cell_angle_alpha 90.00
_cell_angle_beta 90.00
_cell_angle_gamma 90.00
_symmetry_space_group_name_H-M 'F m -3 m'
_symmetry_Int_Tables_number 225
_symmetry_space_group_name_Hall '-F 4 2 3'
loop_
_atom_site_label
_atom_site_fract_x
_atom_site_fract_y
_atom_site_fract_z
_atom_site_occupancy
Co1 0.0000 0.0000 0.0000 1
Ir1 0.0000 0.0000 0.5000 1
W1 0.2500 0.2500 0.2500 1


Energy relative to the most stable one, in meV per atom: <P> 0; <Q> 447


<P>
# CoIrW | Alexandria | PBE | relaxed
# - N(E_F): 3.45 states/eV/f.u.
# - Volume: 41.7 Å³ per cell
# - Magnetic moment: 0.18 μB per atom
data_CoIrW
_chemical_formula_sum 'Co1 Ir1 W1'
_cell_length_a 4.2130
_cell_length_b 4.2130
_cell_length_c 2.7102
_cell_angle_alpha 90.00
_cell_angle_beta 90.00
_cell_angle_gamma 120.00
_symmetry_space_group_name_H-M 'P -6 m 2'
_symmetry_Int_Tables_number 187
_symmetry_space_group_name_Hall 'P -6 2'
loop_
_atom_site_label
_atom_site_fract_x
_atom_site_fract_y
_atom_site_fract_z
_atom_site_occupancy
Co1 0.0000 0.0000 0.0000 1
Ir1 0.6667 0.3333 0.5000 1
W1 0.3333 0.6667 0.0000 1


<Q>
# CoIrW | Alexandria | PBE | relaxed
# - N(E_F): 3.26 states/eV/f.u.
# - Volume: 184.9 Å³ per cell
# - Magnetic moment: 0.00 μB per atom
data_CoIrW
_chemical_formula_sum 'Co4 Ir4 W4'
_cell_length_a 5.6972
_cell_length_b 5.6972
_cell_length_c 5.6972
_cell_angle_alpha 90.00
_cell_angle_beta 90.00
_cell_angle_gamma 90.00
_symmetry_space_group_name_H-M 'F -4 3 m'
_symmetry_Int_Tables_number 216
_symmetry_space_group_name_Hall 'F -4 2 3'
loop_
_atom_site_label
_atom_site_fract_x
_atom_site_fract_y
_atom_site_fract_z
_atom_site_occupancy
Co1 0.0000 0.0000 0.0000 1
Ir1 0.2500 0.2500 0.2500 1
W1 0.2500 0.2500 0.7500 1


<R>
# CoIrW | Alexandria | PBE | relaxed
# - N(E_F): 3.12 states/eV/f.u.
# - Volume: 169.6 Å³ per cell
# - Magnetic moment: 0.31 μB per atom
data_CoIrW
_chemical_formula_sum 'Co4 Ir4 W4'
_cell_length_a 2.7840
_cell_length_b 22.1448
_cell_length_c 2.7505
_cell_angle_alpha 90.00
_cell_angle_beta 90.00
_cell_angle_gamma 90.00
_symmetry_space_group_name_H-M 'C m c m'
_symmetry_Int_Tables_number 63
_symmetry_space_group_name_Hall '-C 2c 2'
loop_
_atom_site_label
_atom_site_fract_x
_atom_site_fract_y
_atom_site_fract_z
_atom_site_occupancy
Co1 0.0000 0.2169 0.2500 1
Ir1 0.0000 0.0525 0.2500 1
W1 0.0000 0.3638 0.2500 1


Energy relative to the most stable one, in meV per atom: <P> 0; <Q> 507; <R> 70


<P>
# CoIrW | Alexandria | PBE | relaxed
# - N(E_F): 3.33 states/eV/f.u.
# - Volume: 42.0 Å³ per cell
# - Magnetic moment: 0.25 μB per atom
data_CoIrW
_chemical_formula_sum 'Co1 Ir1 W1'
_cell_length_a 2.7276
_cell_length_b 2.7276
_cell_length_c 6.5183
_cell_angle_alpha 90.00
_cell_angle_beta 90.00
_cell_angle_gamma 120.00
_symmetry_space_group_name_H-M 'P 3 m 1'
_symmetry_Int_Tables_number 156
loop_
_symmetry_equiv_pos_as_xyz
'x,y,z'
'-y,x-y,z'
'-x+y,-x,z'
'-y,-x,z'
'-x+y,y,z'
'x,x-y,z'
loop_
_atom_site_label
_atom_site_fract_x
_atom_site_fract_y
_atom_site_fract_z
_atom_site_occupancy
Co1 0.0000 0.0000 0.0000 1
Ir1 0.6667 0.3333 0.3309 1
W1 0.3333 0.6667 0.6767 1


<Q>
# CoIrW | Alexandria | PBE | relaxed
# - N(E_F): 3.20 states/eV/f.u.
# - Volume: 82.9 Å³ per cell
# - Magnetic moment: 0.31 μB per atom
data_CoIrW
_chemical_formula_sum 'Co2 Ir2 W2'
_cell_length_a 2.7334
_cell_length_b 3.7389
_cell_length_c 8.1145
_cell_angle_alpha 90.00
_cell_angle_beta 90.00
_cell_angle_gamma 90.00
_symmetry_space_group_name_H-M 'I m m 2'
_symmetry_Int_Tables_number 44
loop_
_symmetry_equiv_pos_as_xyz
'x,y,z'
'-x,-y,z'
'-x,y,z'
'x,-y,z'
'x+1/2,y+1/2,z+1/2'
'-x+1/2,-y+1/2,z+1/2'
'-x+1/2,y+1/2,z+1/2'
'x+1/2,-y+1/2,z+1/2'
loop_
_atom_site_label
_atom_site_fract_x
_atom_site_fract_y
_atom_site_fract_z
_atom_site_occupancy
Co1 0.0000 0.0000 0.0000 1
Ir1 0.0000 0.0000 0.6642 1
W1 0.0000 0.0000 0.3365 1


<R>
# CoIrW | Alexandria | PBE | relaxed
# - N(E_F): 3.26 states/eV/f.u.
# - Volume: 165.7 Å³ per cell
# - Magnetic moment: 0.26 μB per atom
data_CoIrW
_chemical_formula_sum 'Co4 Ir4 W4'
_cell_length_a 8.6163
_cell_length_b 3.7805
_cell_length_c 5.3964
_cell_angle_alpha 90.00
_cell_angle_beta 109.50
_cell_angle_gamma 90.00
_symmetry_space_group_name_H-M 'C 1 2/m 1'
_symmetry_Int_Tables_number 12
loop_
_symmetry_equiv_pos_as_xyz
'x,y,z'
'-x,-y,-z'
'-x,y,-z'
'x,-y,z'
'x+1/2,y+1/2,z'
'-x+1/2,-y+1/2,-z'
'-x+1/2,y+1/2,-z'
'x+1/2,-y+1/2,z'
loop_
_atom_site_label
_atom_site_fract_x
_atom_site_fract_y
_atom_site_fract_z
_atom_site_occupancy
Co1 0.1657 0.0000 0.0734 1
Ir1 0.1711 0.0000 0.5995 1
W1 0.0015 0.5000 0.7551 1


Energy relative to the most stable one, in meV per atom: <P> 199; <Q> 0; <R> 24